# 1
{
  "formula": "MgTlF3",
  "functional": "PBE-GGA",
  "state": "optimized geometry",
  "lattice": [[4.144, 0.000, 0.000], [0.000, 4.144, 0.000], [0.000, 0.000, 4.144]],
  "species": ["Mg", "Tl", "F", "F", "F"],
  "fractional_positions": [[0.000, 0.000, 0.000], [0.500, 0.500, 0.500], [0.000, 0.000, 0.500], [0.000, 0.500, 0.000], [0.500, 0.000, 0.000]],
  "m_tot_mub_per_cell": 0.0,
  "final_energy_ev_per_atom": -4.747,
  "formation_energy_uncorrected_ev_per_fu": -14.16
}

---

# 2
{
  "formula": "NaRuRh",
  "functional": "PBE-GGA",
  "state": "optimized geometry",
  "lattice": [[4.495, 0.000, 0.000], [-2.247, 3.893, 0.000], [0.000, 0.000, 5.503]],
  "species": ["Na", "Na", "Ru", "Ru", "Rh", "Rh"],
  "fractional_positions": [[0.000, 0.000, 0.000], [0.000, 0.000, 0.500], [0.333, 0.667, 0.273], [0.667, 0.333, 0.773], [0.333, 0.667, 0.728], [0.667, 0.333, 0.228]],
  "e_above_lowest_polymorph_mev_per_atom": 331,
  "m_tot_mub_per_cell": 0.0,
  "formation_energy_ev_per_atom": 0.624,
  "final_energy_ev_per_atom": -5.359
}